Entry 1:
Below is a geometry-optimized Ga2BiMo2 structure, with properties calculated at the PBE level.

a = 7.2382 Å, b = 7.2382 Å, c = 3.4203 Å
α = 90.00°, β = 90.00°, γ = 90.00°
Last column: nearest neighbours and their distance in Å.
Space group P4/mbm (No. 127)
Asymmetric unit:
Ga (0.1228, 0.3772, 0.0000) (multiplicity 4)  1 Ga 2.51, 6 Mo 2.72-2.75
Bi (0.0000, 0.0000, 0.0000) (multiplicity 2)  4 Ga 2.87, 8 Mo 3.18
Mo (0.1701, 0.6701, 0.5000) (multiplicity 4)  6 Ga 2.72-2.75

Properties
Formation enthalpy at 0 K (eV/f.u.): 2.1
Calculated total energy (eV/atom): -5.909

=====

Entry 2:
Below is a geometry-optimized CaSc3C structure, with properties calculated at the PBE level.

a = 4.7595 Å, b = 4.7595 Å, c = 4.7595 Å
α = 90.00°, β = 90.00°, γ = 90.00°
Last column: nearest neighbours and their distance in Å.
Space group Pm-3m (No. 221)
Asymmetric unit:
Ca (0.0000, 0.0000, 0.0000) (multiplicity 1)  12 Sc 3.37
Sc (0.0000, 0.5000, 0.5000) (multiplicity 3)  2 C 2.38
C (0.5000, 0.5000, 0.5000) (multiplicity 1)  6 Sc 2.38

Properties
Formation enthalpy at 0 K (eV/f.u.): -0.3
Calculated total energy (eV/atom): -6.103
Excess energy over the best structure of this formula in the dataset (eV/atom): 0.000

=====

Entry 3:
Below is a geometry-optimized Ca2RuC structure, with properties calculated at the PBE level.

a = 6.1241 Å, b = 3.5366 Å, c = 8.0583 Å
α = 90.00°, β = 104.80°, γ = 90.00°
Last column: nearest neighbours and their distance in Å.
Space group Cm (No. 8)
Asymmetric unit:
Ca (0.0000, 0.0000, 0.0000) (multiplicity 2)  3 Ru 3.01-3.02, 3 C 3.06
Ca (0.1898, 0.0000, 0.5668) (multiplicity 2)  3 C 2.95, 3 Ru 3.00
Ru (0.4287, 0.0000, 0.2848) (multiplicity 2)  3 C 2.04
C (0.2648, 0.5000, 0.2931) (multiplicity 2)  3 Ru 2.04

Properties
Formation enthalpy at 0 K (eV/f.u.): 0.3
Calculated total energy (eV/atom): -5.551

=====

Entry 4:
Below is a geometry-optimized FeAgB2Os structure, with properties calculated at the PBE level.

a = 3.8603 Å, b = 3.8603 Å, c = 4.5222 Å
α = 90.00°, β = 90.00°, γ = 90.00°
Last column: nearest neighbours and their distance in Å.
Space group P4/mmm (No. 123)
Asymmetric unit:
Fe (0.0000, 0.0000, 0.0000) (multiplicity 1)  4 B 1.93
Ag (0.5000, 0.5000, 0.5000) (multiplicity 1)  4 Os 2.73, 8 B 2.97
B (0.0000, 0.5000, 0.0000) (multiplicity 2)  2 Fe 1.93
Os (0.0000, 0.0000, 0.5000) (multiplicity 1)  2 Fe 2.26

Properties
Formation enthalpy at 0 K (eV/f.u.): 6.5
Calculated total energy (eV/atom): -5.887

=====

Entry 5:
Below is a geometry-optimized CsK2CuPb structure, with properties calculated at the PBE level.

a = 6.4800 Å, b = 6.4800 Å, c = 5.1638 Å
α = 90.00°, β = 90.00°, γ = 90.00°
Last column: nearest neighbours and their distance in Å.
Space group P4/mmm (No. 123)
Asymmetric unit:
Cs (0.0000, 0.0000, 0.0000) (multiplicity 1)  8 K 4.14, 4 Pb 4.58
K (0.0000, 0.5000, 0.5000) (multiplicity 2)  2 Cu 3.24
Cu (0.5000, 0.5000, 0.5000) (multiplicity 1)  2 Pb 2.58
Pb (0.5000, 0.5000, 0.0000) (multiplicity 1)  2 Cu 2.58

Properties
Formation enthalpy at 0 K (eV/f.u.): 0.4
Calculated total energy (eV/atom): -2.083

=====

Entry 6:
Below is a geometry-optimized PmDyMg2 structure, with properties calculated at the PBE level.

a = 7.6457 Å, b = 7.6457 Å, c = 7.6457 Å
α = 90.00°, β = 90.00°, γ = 90.00°
Last column: nearest neighbours and their distance in Å.
Space group Fm-3m (No. 225)
Asymmetric unit:
Pm (0.0000, 0.0000, 0.0000) (multiplicity 4)  8 Mg 3.31
Dy (0.0000, 0.0000, 0.5000) (multiplicity 4)  8 Mg 3.31
Mg (0.2500, 0.2500, 0.2500) (multiplicity 8)  4 Pm 3.31, 4 Dy 3.31

Properties
Formation enthalpy at 0 K (eV/f.u.): -0.4
Calculated total energy (eV/atom): -3.234
Excess energy over the best structure of this formula in the dataset (eV/atom): 0.000

=====

Entry 7:
Below is a geometry-optimized ZrMo2Cl structure, with properties calculated at the PBE level.

a = 3.1220 Å, b = 4.5295 Å, c = 5.3539 Å
α = 90.00°, β = 90.00°, γ = 90.00°
Last column: nearest neighbours and their distance in Å.
Space group Pmmm (No. 47)
Asymmetric unit:
Zr (0.0000, 0.0000, 0.0000) (multiplicity 1)  2 Cl 2.68, 8 Mo 2.97
Mo (0.5000, 0.5000, 0.2114) (multiplicity 2)  1 Mo 2.26
Cl (0.0000, 0.0000, 0.5000) (multiplicity 1)  2 Zr 2.68

Properties
Calculated total energy (eV/atom): -7.657
Formation energy (no corrections) (kJ/mol of formula units): 138
Excess energy over the best structure of this formula in the dataset (eV/atom): 0.515

=====

Entry 8:
Below is a geometry-optimized Tm2MnSi4Pt3 structure, with properties calculated at the PBE level.

a = 4.0132 Å, b = 4.0132 Å, c = 10.3876 Å
α = 90.00°, β = 90.00°, γ = 90.00°
Last column: nearest neighbours and their distance in Å.
Space group P-4m2 (No. 115)
Asymmetric unit:
Tm (0.0000, 0.5000, 0.2422) (multiplicity 2)  8 Si 3.05-3.35, 6 Pt 3.12-3.22, 2 Mn 3.22
Mn (0.5000, 0.5000, 0.0000) (multiplicity 1)  4 Si 2.45
Si (0.0000, 0.0000, 0.5000) (multiplicity 1)  4 Pt 2.44
Si (0.0000, 0.5000, 0.8651) (multiplicity 2)  3 Pt 2.41-2.45, 2 Mn 2.45
Si (0.5000, 0.5000, 0.5000) (multiplicity 1)  4 Pt 2.44
Pt (0.0000, 0.0000, 0.0000) (multiplicity 1)  4 Si 2.45
Pt (0.0000, 0.5000, 0.6336) (multiplicity 2)  5 Si 2.41-2.44

Properties
Calculated total energy (eV/atom): -6.750
Formation energy (no corrections) (kJ/mol of formula units): -923

=====

Entry 9:
Below is a geometry-optimized La2Tb5PrSm structure, with properties calculated at the PBE level.

a = 8.7480 Å, b = 8.7480 Å, c = 15.9200 Å
α = 90.00°, β = 90.00°, γ = 90.00°
Last column: nearest neighbours and their distance in Å.
Space group I4/mcm (No. 140)
Asymmetric unit:
La (0.1178, 0.3822, 0.0000) (multiplicity 8)  1 La 2.91, 2 Tb 3.05
Tb (0.0000, 0.0000, 0.0000) (multiplicity 4)  4 La 3.50, 8 Tb 3.84
Tb (0.2138, 0.2862, 0.3599) (multiplicity 16)  1 La 3.05, 1 Sm 3.17
Pr (0.0000, 0.0000, 0.2500) (multiplicity 4)  10 Tb 3.58-3.98
Sm (0.0000, 0.5000, 0.2500) (multiplicity 4)  4 Tb 3.17

Properties
Formation enthalpy at 0 K (eV/f.u.): 2.2
Calculated total energy (eV/atom): -4.481

=====

Entry 10:
Below is a geometry-optimized Co2Ni4Ir structure, with properties calculated at the PBE level.

a = 7.0078 Å, b = 7.0078 Å, c = 14.3518 Å
α = 90.00°, β = 90.00°, γ = 90.00°
Last column: nearest neighbours and their distance in Å.
Space group I4_1/amd (No. 141, origin choice 2)
Asymmetric unit:
Co (0.0000, 0.0028, 0.2481) (multiplicity 16)  8 Ni 2.45-2.56, 2 Ir 2.49
Ni (0.0000, 0.0000, 0.5000) (multiplicity 8)  4 Co 2.46, 6 Ni 2.48
Ni (0.0000, 0.2500, 0.1273) (multiplicity 8)  4 Co 2.45-2.56, 6 Ni 2.48, 2 Ir 2.53
Ni (0.2434, 0.0066, 0.3750) (multiplicity 16)  4 Ni 2.48, 4 Co 2.50-2.52, 2 Ir 2.54
Ir (0.0000, 0.0000, 0.0000) (multiplicity 8)  4 Co 2.49, 6 Ni 2.53-2.54

Properties
Formation enthalpy at 0 K (eV/f.u.): 1.9
Calculated total energy (eV/atom): -6.328
Excess energy over the best structure of this formula in the dataset (eV/atom): 0.058

=====

Entry 11:
Below is a geometry-optimized Tm2Th2SiIr4 structure, with properties calculated at the PBE level.

a = 6.4298 Å, b = 6.4298 Å, c = 9.3281 Å
α = 90.00°, β = 90.00°, γ = 90.00°
Last column: nearest neighbours and their distance in Å.
Space group I4/mmm (No. 139)
Asymmetric unit:
Tm (0.0000, 0.5000, 0.2500) (multiplicity 4)  8 Ir 3.26, 4 Th 3.26
Th (0.0000, 0.0000, 0.1927) (multiplicity 4)  4 Ir 2.84, 1 Si 2.87
Si (0.0000, 0.0000, 0.5000) (multiplicity 2)  4 Ir 2.34
Ir (0.2423, 0.2423, 0.0000) (multiplicity 8)  1 Si 2.34

Properties
Calculated total energy (eV/atom): -7.589
Formation energy (no corrections) (kJ/mol of formula units): -352

=====

Entry 12:
Below is a geometry-optimized AcAgP2 structure, with properties calculated at the PBE level.

a = 3.7916 Å, b = 3.7916 Å, c = 6.1903 Å
α = 90.00°, β = 90.00°, γ = 90.00°
Last column: nearest neighbours and their distance in Å.
Space group P4/mmm (No. 123)
Asymmetric unit:
Ac (0.0000, 0.0000, 0.0000) (multiplicity 1)  2 Ag 3.10, 8 P 3.31
Ag (0.0000, 0.0000, 0.5000) (multiplicity 1)  8 P 2.92, 2 Ac 3.10
P (0.5000, 0.5000, 0.3137) (multiplicity 2)  1 P 2.31

Properties
Formation enthalpy at 0 K (eV/f.u.): -0.7
Calculated total energy (eV/atom): -4.627
Excess energy over the best structure of this formula in the dataset (eV/atom): 0.162

=====

Q: Which of these has the highest calculated total energy?
A: CsK2CuPb

=====

Q: Number 9 is which compound?
A: La2Tb5PrSm

=====

Q: What is the formula in the fourth record?
A: FeAgB2Os